# 1
A plane-wave DFT calculation with PBE was carried out for ScInCo2 after structural relaxation.

Output
Formation energy: 0.653 eV per atom
Electronic total energy: -5.168 eV/atom

Geometry as POSCAR:
```
ScInCo2
1.0
2.863 0.000 0.000
0.000 4.881 0.000
0.000 0.000 10.286
Sc In Co
2 2 4
direct
0.000 0.000 0.000 Sc
0.500 0.500 0.500 Sc
0.000 0.000 0.500 In
0.500 0.500 0.000 In
0.000 0.000 0.250 Co
0.000 0.000 0.750 Co
0.500 0.500 0.250 Co
0.500 0.500 0.750 Co
```



# 2
A plane-wave DFT calculation with PBE was carried out for Sc8InCo2 after structural relaxation.

Output
Excess energy over the best structure of this formula in the dataset: 7 meV/atom
Formation energy: -0.203 eV per atom
Electronic total energy: -6.348 eV/atom

Geometry as POSCAR:
```
Sc8InCo2
1.0
4.080 -6.168 0.000
4.080 6.168 0.000
-1.102 0.000 4.698
Sc In Co
8 1 2
direct
0.113 0.113 0.802 Sc
0.170 0.435 0.426 Sc
0.248 0.752 0.000 Sc
0.435 0.170 0.426 Sc
0.565 0.830 0.574 Sc
0.752 0.248 0.000 Sc
0.830 0.565 0.574 Sc
0.887 0.887 0.198 Sc
0.500 0.500 0.000 In
0.187 0.813 0.500 Co
0.813 0.187 0.500 Co
```



# 3
A plane-wave DFT calculation with PBE was carried out for ScIn2Co after structural relaxation.

Output
Formation energy: -0.092 eV per atom
Electronic total energy: -4.820 eV/atom

Geometry as POSCAR:
```
ScIn2Co
1.0
6.643 0.000 0.000
0.000 6.643 0.000
0.000 0.000 6.643
Sc In Co
4 8 4
direct
0.000 0.000 0.000 Sc
0.000 0.500 0.500 Sc
0.500 0.000 0.500 Sc
0.500 0.500 0.000 Sc
0.250 0.250 0.250 In
0.250 0.250 0.750 In
0.250 0.750 0.250 In
0.250 0.750 0.750 In
0.750 0.250 0.250 In
0.750 0.250 0.750 In
0.750 0.750 0.250 In
0.750 0.750 0.750 In
0.000 0.000 0.500 Co
0.000 0.500 0.000 Co
0.500 0.000 0.000 Co
0.500 0.500 0.500 Co
```



# 4
A plane-wave DFT calculation with PBE was carried out for ScInCo2 after structural relaxation.

Output
Formation energy: -0.153 eV per atom
Electronic total energy: -5.973 eV/atom

Geometry as POSCAR:
```
ScInCo2
1.0
3.146 0.000 0.000
0.000 3.146 0.000
0.000 0.000 6.119
Sc In Co
1 1 2
direct
0.000 0.000 0.000 Sc
0.000 0.000 0.500 In
0.500 0.500 0.248 Co
0.500 0.500 0.752 Co
```



# 5
A plane-wave DFT calculation with PBE was carried out for ScIn2Co after structural relaxation.

Output
Formation energy: -0.036 eV per atom
Electronic total energy: -4.764 eV/atom

Geometry as POSCAR:
```
ScIn2Co
1.0
4.326 0.000 0.000
0.000 4.326 0.000
0.000 0.000 8.145
Sc In Co
2 4 2
direct
0.000 0.000 0.000 Sc
0.500 0.500 0.500 Sc
0.000 0.000 0.500 In
0.000 0.500 0.250 In
0.500 0.000 0.750 In
0.500 0.500 0.000 In
0.000 0.500 0.750 Co
0.500 0.000 0.250 Co
```



# 6
A plane-wave DFT calculation with PBE was carried out for ScIn2Co after structural relaxation.

Output
Formation energy: 0.045 eV per atom
Electronic total energy: -4.683 eV/atom

Geometry as POSCAR:
```
ScIn2Co
1.0
3.250 0.000 0.000
-1.625 2.815 0.000
0.000 0.000 27.141
Sc In Co
3 6 3
direct
0.000 0.000 0.000 Sc
0.333 0.667 0.667 Sc
0.667 0.333 0.333 Sc
0.000 0.000 0.236 In
0.000 0.000 0.469 In
0.333 0.667 0.136 In
0.333 0.667 0.903 In
0.667 0.333 0.569 In
0.667 0.333 0.802 In
0.000 0.000 0.730 Co
0.333 0.667 0.397 Co
0.667 0.333 0.063 Co
```



Repeat the fifth record exactly.
A plane-wave DFT calculation with PBE was carried out for ScIn2Co after structural relaxation.

Output
Formation energy: -0.036 eV per atom
Electronic total energy: -4.764 eV/atom

Geometry as POSCAR:
```
ScIn2Co
1.0
4.326 0.000 0.000
0.000 4.326 0.000
0.000 0.000 8.145
Sc In Co
2 4 2
direct
0.000 0.000 0.000 Sc
0.500 0.500 0.500 Sc
0.000 0.000 0.500 In
0.000 0.500 0.250 In
0.500 0.000 0.750 In
0.500 0.500 0.000 In
0.000 0.500 0.750 Co
0.500 0.000 0.250 Co
```